VASP calculation (PBE+U) on an optimized crystal structure of RbV2InO8.

Results
N(E_F) = 9.05 states/eV/f.u.
Electronic total energy = -6.3641 eV/atom
M_tot = 2.03 Bohr magnetons per cell
Density = 3.05 Mg/m³

```
data_RbV2InO8
_chemical_formula_sum 'Rb1 V2 In1 O8'
_cell_length_a 5.8376
_cell_length_b 5.8376
_cell_length_c 7.9229
_cell_angle_alpha 90.00
_cell_angle_beta 90.00
_cell_angle_gamma 120.00
_space_group_name_H-M_alt 'P 1'
_space_group_IT_number 1
loop_
_space_group_symop_operation_xyz
'x,y,z'
loop_
_atom_site_label
_atom_site_type_symbol
_atom_site_fract_x
_atom_site_fract_y
_atom_site_fract_z
V1 V 0.6667 0.3333 0.2695
V2 V 0.3333 0.6667 0.7305
O1 O 0.8337 0.6628 0.3351
O2 O 0.1663 0.3372 0.6649
O3 O 0.1709 0.8337 0.6649
O4 O 0.8291 0.1663 0.3351
O5 O 0.3372 0.1709 0.3351
O6 O 0.3333 0.6667 0.9462
O7 O 0.6628 0.8291 0.6649
O8 O 0.6667 0.3333 0.0538
In1 In 0.0000 0.0000 0.5000
Rb1 Rb 0.0000 0.0000 0.0000
```